[1]
Here is Zn4GaPd5 after structural relaxation from Alexandria. Energies are from PBE-GGA.

Cell and atoms, written as extended XYZ:
```
10
Lattice="-1.770 -2.354 -1.056 -0.075 -1.233 2.874 -12.251 7.845 3.047" Properties=species:S:1:pos:R:3 pbc="T T T"
Zn -2.476 1.585 0.616
Zn -4.910 3.144 1.221
Zn -7.341 4.701 1.826
Zn -9.775 6.260 2.431
Ga 0.000 0.000 0.000
Pd -2.123 -1.024 1.208
Pd -4.600 0.561 1.824
Pd -7.048 2.129 2.433
Pd -9.495 3.696 3.041
Pd -11.972 5.282 3.657
```

Properties
- calculated volume (Å³/f.u.) = 145.5
- ρ (Mg/m³) = 9.9
- final energy (eV/f.u.) = -39.66
- spin magnetization (μB/f.u.) = 0.000
- DOS(E_F) (states/eV per cell) = 3.8

[2]
Here is Zn2GaPd after structural relaxation from Alexandria. Energies are from PBE-GGA.

Cell and atoms, written as extended XYZ:
```
4
Lattice="2.909 0.000 0.000 0.000 2.934 -1.068 0.000 0.961 7.115" Properties=species:S:1:pos:R:3 pbc="T T T"
Zn 0.000 3.681 6.037
Zn 1.455 1.814 0.991
Ga 0.000 2.588 3.052
Pd 1.455 1.653 5.038
```

Properties
- calculated volume (Å³/f.u.) = 63.7
- ρ (Mg/m³) = 8.0
- final energy (eV/f.u.) = -11.78
- spin magnetization (μB/f.u.) = 0.000
- DOS(E_F) (states/eV per cell) = 1.3

[3]
Here is ZnGa7Pd4 after structural relaxation from Alexandria. Energies are from PBE-GGA.

Cell and atoms, written as extended XYZ:
```
12
Lattice="-2.415 -0.069 -4.545 -7.688 -3.921 -1.978 -4.702 3.302 1.296" Properties=species:S:1:pos:R:3 pbc="T T T"
Zn 0.000 0.000 0.000
Ga -11.700 -2.190 -4.830
Ga -3.105 1.503 -0.397
Ga -6.201 -1.497 -1.056
Ga -8.604 0.810 -4.172
Ga -9.022 0.306 -1.382
Ga -1.208 -0.034 -2.273
Ga -5.783 -0.993 -3.846
Pd -6.522 0.884 -2.341
Pd -8.283 -1.571 -2.886
Pd -11.108 -0.033 -3.311
Pd -3.697 -0.654 -1.916
```

Properties
- calculated volume (Å³/f.u.) = 194.4
- ρ (Mg/m³) = 8.4
- final energy (eV/f.u.) = -47.86
- spin magnetization (μB/f.u.) = 0.000
- DOS(E_F) (states/eV per cell) = 2.8

[4]
Here is Zn2GaPd2 after structural relaxation from Alexandria. Energies are from PBE-GGA.

Cell and atoms, written as extended XYZ:
```
20
Lattice="-3.799 3.182 2.671 0.345 -3.967 5.218 7.106 4.349 2.838" Properties=species:S:1:pos:R:3 pbc="T T T"
Zn 5.271 4.657 5.717
Zn 3.333 6.690 6.471
Zn 0.319 -3.126 4.255
Zn -1.619 -1.092 5.009
Zn -1.174 1.455 7.372
Zn 0.726 -0.141 6.042
Zn 2.926 3.706 4.684
Zn 4.826 2.110 3.354
Ga 0.581 1.884 3.493
Ga 3.071 1.680 7.234
Ga -1.321 3.508 4.785
Ga 4.973 0.056 5.941
Pd -1.537 2.806 2.330
Pd 0.527 -0.678 3.484
Pd 3.125 4.242 7.242
Pd 5.189 0.758 8.396
Pd 0.906 2.628 6.033
Pd 2.636 2.988 2.132
Pd 1.016 0.576 8.594
Pd 2.745 0.936 4.693
```

Properties
- calculated volume (Å³/f.u.) = 80.8
- ρ (Mg/m³) = 8.5
- final energy (eV/f.u.) = -18.01
- spin magnetization (μB/f.u.) = 0.000
- DOS(E_F) (states/eV per cell) = 6.4

[5]
Here is ZnGa2Pd5 after structural relaxation from Alexandria. Energies are from PBE-GGA.

Cell and atoms, written as extended XYZ:
```
16
Lattice="4.072 0.000 0.000 0.000 5.482 0.000 0.000 0.000 10.657" Properties=species:S:1:pos:R:3 pbc="T T T"
Zn 0.000 0.000 5.329
Zn 0.000 2.741 0.000
Ga 2.036 1.811 3.831
Ga 2.036 3.671 6.827
Ga 2.036 0.930 9.160
Ga 2.036 4.552 1.498
Pd 2.036 1.673 1.165
Pd 2.036 3.809 9.493
Pd 2.036 4.414 4.164
Pd 2.036 1.068 6.493
Pd 0.000 4.985 7.847
Pd 0.000 0.497 2.810
Pd 0.000 2.244 8.139
Pd 0.000 3.238 2.519
Pd 0.000 2.741 5.329
Pd 0.000 0.000 0.000
```

Properties
- calculated volume (Å³/f.u.) = 119.0
- ρ (Mg/m³) = 10.3
- final energy (eV/f.u.) = -37.97
- spin magnetization (μB/f.u.) = 0.000
- DOS(E_F) (states/eV per cell) = 5.5

[6]
Here is Zn4GaPd2 after structural relaxation from Alexandria. Energies are from PBE-GGA.

Cell and atoms, written as extended XYZ:
```
7
Lattice="3.591 0.000 -0.828 -0.191 3.586 -0.828 0.268 0.283 9.367" Properties=species:S:1:pos:R:3 pbc="T T T"
Zn 0.539 0.569 2.340
Zn 3.129 3.300 5.372
Zn 0.889 2.831 3.856
Zn 2.780 1.038 3.856
Ga 0.000 0.000 0.000
Pd 2.249 2.372 1.555
Pd 1.419 1.497 6.156
```

Properties
- calculated volume (Å³/f.u.) = 122.3
- ρ (Mg/m³) = 7.4
- final energy (eV/f.u.) = -19.47
- spin magnetization (μB/f.u.) = 0.000
- DOS(E_F) (states/eV per cell) = 1.2

[7]
Here is Zn3Ga4Pd7 after structural relaxation from Alexandria. Energies are from PBE-GGA.

Cell and atoms, written as extended XYZ:
```
14
Lattice="-0.850 -4.123 -5.537 1.646 -3.434 5.821 -5.107 4.647 0.840" Properties=species:S:1:pos:R:3 pbc="T T T"
Zn -1.377 -3.585 2.078
Zn -3.254 -2.297 -1.788
Zn -3.911 0.115 1.937
Ga -1.076 -0.581 2.822
Ga -0.402 -2.957 -0.743
Ga -2.862 0.608 -0.947
Ga -4.221 -2.850 1.101
Pd -2.536 -2.692 -4.283
Pd 0.104 -5.472 -1.212
Pd -1.700 -0.271 5.335
Pd -4.851 1.391 -2.442
Pd -4.439 2.664 2.285
Pd -2.142 -1.446 0.559
Pd 0.602 -4.274 3.660
```

Properties
- calculated volume (Å³/f.u.) = 208.5
- ρ (Mg/m³) = 9.7
- final energy (eV/f.u.) = -60.63
- spin magnetization (μB/f.u.) = 0.000
- DOS(E_F) (states/eV per cell) = 3.6

[8]
Here is Zn5Ga2Pd12 after structural relaxation from Alexandria. Energies are from PBE-GGA.

Cell and atoms, written as extended XYZ:
```
19
Lattice="-4.496 5.493 -2.597 -2.842 -6.059 3.103 0.535 2.970 5.355" Properties=species:S:1:pos:R:3 pbc="T T T"
Zn -2.154 -0.043 3.637
Zn -3.306 -1.923 1.654
Zn 0.268 1.485 2.677
Zn -3.497 4.327 4.206
Zn -4.649 2.447 2.224
Ga -3.515 4.295 -2.031
Ga -0.981 1.198 -0.567
Pd -5.928 0.698 0.740
Pd -1.507 -1.078 6.086
Pd -3.860 1.797 4.726
Pd -2.856 -2.564 4.182
Pd -4.762 -0.236 3.081
Pd -4.262 -0.745 5.801
Pd -2.541 3.149 0.060
Pd -3.947 4.968 1.679
Pd -2.041 2.640 2.780
Pd -5.296 3.482 -0.225
Pd -2.942 0.607 1.135
Pd -0.875 1.705 5.121
```

Properties
- calculated volume (Å³/f.u.) = 293.5
- ρ (Mg/m³) = 9.9
- final energy (eV/f.u.) = -82.66
- spin magnetization (μB/f.u.) = 0.000
- DOS(E_F) (states/eV per cell) = 7.2

[9]
Here is Zn3Ga4Pd4 after structural relaxation from Alexandria. Energies are from PBE-GGA.

Cell and atoms, written as extended XYZ:
```
11
Lattice="2.926 0.000 0.000 0.000 7.961 0.000 -1.463 -3.981 7.590" Properties=species:S:1:pos:R:3 pbc="T T T"
Zn 0.000 0.000 1.403
Zn 1.463 3.981 6.187
Zn 0.000 3.981 0.000
Ga 0.000 -1.588 5.120
Ga 1.463 2.392 2.470
Ga 1.463 5.569 2.470
Ga 0.000 1.588 5.120
Pd 0.000 3.981 3.937
Pd 1.463 0.000 3.653
Pd 1.463 6.186 0.000
Pd 1.463 1.775 0.000
```

Properties
- calculated volume (Å³/f.u.) = 176.8
- ρ (Mg/m³) = 8.5
- final energy (eV/f.u.) = -41.16
- spin magnetization (μB/f.u.) = 0.000
- DOS(E_F) (states/eV per cell) = 4.2

[10]
Here is ZnGaPd after structural relaxation from Alexandria. Energies are from PBE-GGA.

Cell and atoms, written as extended XYZ:
```
3
Lattice="-1.756 -2.626 -0.864 0.953 0.385 -3.109 3.733 -1.342 2.703" Properties=species:S:1:pos:R:3 pbc="T T T"
Zn 0.358 -1.682 -1.823
Ga 1.910 -1.412 0.411
Pd 2.593 -3.334 -1.343
```

Properties
- calculated volume (Å³/f.u.) = 45.1
- ρ (Mg/m³) = 8.9
- final energy (eV/f.u.) = -10.72
- spin magnetization (μB/f.u.) = 0.000
- DOS(E_F) (states/eV per cell) = 1.2

[11]
Here is Zn3GaPd6 after structural relaxation from Alexandria. Energies are from PBE-GGA.

Cell and atoms, written as extended XYZ:
```
20
Lattice="-0.189 4.321 -1.113 -6.394 -1.195 -3.555 -1.749 2.252 9.039" Properties=species:S:1:pos:R:3 pbc="T T T"
Zn -4.123 1.304 1.283
Zn -4.208 4.073 3.087
Zn -3.812 2.418 5.554
Zn -4.519 2.959 -1.184
Zn -6.719 2.368 5.850
Zn -1.612 3.010 -1.480
Ga -7.168 1.291 1.746
Ga -1.163 4.087 2.625
Pd -3.170 0.716 -1.162
Pd -5.162 4.662 5.533
Pd -1.319 1.315 0.847
Pd -7.012 4.063 3.523
Pd -5.417 1.828 3.533
Pd -2.915 3.550 0.838
Pd -2.492 1.911 3.363
Pd -5.839 3.466 1.008
Pd -5.997 0.759 -0.516
Pd -2.334 4.619 4.886
Pd -2.083 2.964 7.381
Pd -6.249 2.413 -3.010
```

Properties
- calculated volume (Å³/f.u.) = 147.7
- ρ (Mg/m³) = 10.2
- final energy (eV/f.u.) = -43.17
- spin magnetization (μB/f.u.) = 0.000
- DOS(E_F) (states/eV per cell) = 5.6

[12]
Here is Zn5GaPd4 after structural relaxation from Alexandria. Energies are from PBE-GGA.

Cell and atoms, written as extended XYZ:
```
10
Lattice="-2.743 0.686 3.280 -3.047 -4.057 -1.699 5.762 -2.892 2.565" Properties=species:S:1:pos:R:3 pbc="T T T"
Zn 1.997 -2.301 2.152
Zn -0.318 -2.201 0.194
Zn 0.290 -4.062 3.951
Zn -2.895 -1.686 0.790
Zn -2.025 -3.962 1.994
Ga -1.372 0.343 1.640
Pd -0.551 -1.858 2.786
Pd -1.898 -4.103 -0.729
Pd 0.523 -4.406 1.359
Pd 1.870 -2.161 4.875
```

Properties
- calculated volume (Å³/f.u.) = 146.3
- ρ (Mg/m³) = 9.3
- final energy (eV/f.u.) = -34.71
- spin magnetization (μB/f.u.) = 0.000
- DOS(E_F) (states/eV per cell) = 2.3

[13]
Here is Zn2Ga2Pd after structural relaxation from Alexandria. Energies are from PBE-GGA.

Cell and atoms, written as extended XYZ:
```
10
Lattice="6.638 0.000 0.000 0.000 6.638 0.000 0.000 0.000 3.787" Properties=species:S:1:pos:R:3 pbc="T T T"
Zn 1.091 4.410 1.893
Zn 4.410 5.547 1.893
Zn 5.547 2.228 1.893
Zn 2.228 1.091 1.893
Ga 2.386 5.705 0.000
Ga 5.705 4.252 0.000
Ga 4.252 0.933 0.000
Ga 0.933 2.386 0.000
Pd 0.000 0.000 0.000
Pd 3.319 3.319 0.000
```

Properties
- calculated volume (Å³/f.u.) = 83.4
- ρ (Mg/m³) = 7.5
- final energy (eV/f.u.) = -14.24
- spin magnetization (μB/f.u.) = 0.000
- DOS(E_F) (states/eV per cell) = 3.5

[14]
Here is Zn8GaPd4 after structural relaxation from Alexandria. Energies are from PBE-GGA.

Cell and atoms, written as extended XYZ:
```
13
Lattice="4.241 0.000 0.000 0.000 3.068 0.000 0.000 0.000 15.751" Properties=species:S:1:pos:R:3 pbc="T T T"
Zn 0.000 0.000 8.009
Zn 4.242 1.534 14.596
Zn 2.121 1.534 0.604
Zn 2.121 0.000 9.750
Zn 0.000 1.534 3.243
Zn 0.000 0.000 12.329
Zn 2.121 0.000 2.849
Zn 2.121 1.534 11.994
Ga 4.241 0.000 5.531
Pd 4.241 0.000 1.069
Pd 0.000 1.534 10.121
Pd 2.121 1.534 5.016
Pd 2.121 0.000 14.165
```

Properties
- calculated volume (Å³/f.u.) = 204.9
- ρ (Mg/m³) = 8.3
- final energy (eV/f.u.) = -38.15
- spin magnetization (μB/f.u.) = 0.000
- DOS(E_F) (states/eV per cell) = 3.3

[15]
Here is ZnGaPd2 after structural relaxation from Alexandria. Energies are from PBE-GGA.

Cell and atoms, written as extended XYZ:
```
4
Lattice="-1.953 -1.595 -2.340 -0.078 -3.381 2.370 -3.399 1.399 1.883" Properties=species:S:1:pos:R:3 pbc="T T T"
Zn -2.715 -1.789 0.957
Ga -0.977 -0.798 -1.170
Pd -1.699 0.700 0.942
Pd -0.039 -1.690 1.185
```

Properties
- calculated volume (Å³/f.u.) = 58.7
- ρ (Mg/m³) = 9.8
- final energy (eV/f.u.) = -16.95
- spin magnetization (μB/f.u.) = 0.000
- DOS(E_F) (states/eV per cell) = 2.0

[16]
Here is ZnGa3Pd12 after structural relaxation from Alexandria. Energies are from PBE-GGA.

Cell and atoms, written as extended XYZ:
```
16
Lattice="-3.752 -0.592 1.050 0.307 -3.789 -1.041 4.589 -3.581 14.387" Properties=species:S:1:pos:R:3 pbc="T T T"
Zn 0.000 0.000 0.000
Ga 1.144 -0.893 3.588
Ga 2.295 -1.791 7.193
Ga 3.445 -2.688 10.799
Pd -1.723 -2.190 0.004
Pd -0.575 -3.086 3.602
Pd 0.572 -3.981 7.198
Pd 1.719 -4.876 10.794
Pd -1.301 -0.745 2.328
Pd -0.157 -1.638 5.916
Pd 0.993 -2.535 9.520
Pd 2.138 -3.428 13.109
Pd 0.728 -2.343 1.283
Pd 1.873 -3.236 4.871
Pd 3.023 -4.134 8.475
Pd 4.167 -5.027 12.063
```

Properties
- calculated volume (Å³/f.u.) = 241.1
- ρ (Mg/m³) = 10.7
- final energy (eV/f.u.) = -79.19
- spin magnetization (μB/f.u.) = 0.000
- DOS(E_F) (states/eV per cell) = 18.9

[17]
Here is Zn6GaPd2 after structural relaxation from Alexandria. Energies are from PBE-GGA.

Cell and atoms, written as extended XYZ:
```
18
Lattice="-2.420 -6.655 0.786 3.238 -5.619 4.989 -1.573 -0.729 6.910" Properties=species:S:1:pos:R:3 pbc="T T T"
Zn -0.435 -6.678 7.693
Zn 1.466 -7.975 8.685
Zn -0.319 -6.325 4.993
Zn -2.220 -5.027 4.000
Zn -2.323 -7.906 6.025
Zn -0.326 -4.213 2.175
Zn 1.569 -5.096 6.660
Zn -0.428 -8.790 10.510
Zn 0.711 -6.418 10.928
Zn 0.835 -4.627 9.178
Zn -1.465 -6.584 1.757
Zn -1.589 -8.375 3.507
Ga 0.221 -9.389 6.057
Ga -0.975 -3.613 6.628
Pd 1.915 -7.500 6.027
Pd -1.187 -9.267 8.165
Pd -2.669 -5.502 6.659
Pd 0.433 -3.735 4.520
```

Properties
- calculated volume (Å³/f.u.) = 138.7
- ρ (Mg/m³) = 8.1
- final energy (eV/f.u.) = -23.58
- spin magnetization (μB/f.u.) = 0.000
- DOS(E_F) (states/eV per cell) = 2.7

[18]
Here is Zn5Ga12Pd2 after structural relaxation from Alexandria. Energies are from PBE-GGA.

Cell and atoms, written as extended XYZ:
```
19
Lattice="-2.295 -2.737 6.667 6.861 -1.521 -2.553 0.486 6.767 2.946" Properties=species:S:1:pos:R:3 pbc="T T T"
Zn 2.618 2.466 1.914
Zn 3.736 -1.779 0.555
Zn 0.243 3.384 1.473
Zn 1.317 4.288 6.504
Zn 2.435 0.043 5.146
Ga 0.536 1.063 0.621
Ga 2.107 1.909 7.532
Ga 3.034 3.015 4.840
Ga 5.469 0.309 0.154
Ga 4.477 -0.874 3.037
Ga 5.027 2.292 2.671
Ga 0.026 0.218 4.389
Ga -0.416 2.200 6.906
Ga 0.576 3.384 4.023
Ga 2.946 0.600 -0.472
Ga 2.019 -0.505 2.220
Ga 4.517 1.446 6.439
Pd -1.610 -1.921 4.678
Pd -0.685 -0.817 1.989
```

Properties
- calculated volume (Å³/f.u.) = 343.9
- ρ (Mg/m³) = 6.6
- final energy (eV/f.u.) = -54.63
- spin magnetization (μB/f.u.) = 0.000
- DOS(E_F) (states/eV per cell) = 4.3

[19]
Here is ZnGa2Pd6 after structural relaxation from Alexandria. Energies are from PBE-GGA.

Cell and atoms, written as extended XYZ:
```
18
Lattice="-1.875 -0.214 3.681 -5.733 -4.656 -3.191 4.310 -6.549 1.814" Properties=species:S:1:pos:R:3 pbc="T T T"
Zn -3.804 -2.435 0.245
Zn 2.155 -3.275 0.907
Ga -0.149 -6.855 4.173
Ga -2.511 -8.418 0.555
Ga -0.787 -3.002 1.748
Ga -3.149 -4.566 -1.870
Pd 0.622 -1.272 0.243
Pd -1.618 -6.588 -1.208
Pd 0.141 -8.634 -0.431
Pd 1.031 -4.835 2.568
Pd 2.252 -7.318 3.045
Pd -2.551 -4.665 0.753
Pd -3.920 -10.148 2.061
Pd -1.680 -4.832 3.511
Pd -3.439 -2.786 2.734
Pd -4.329 -6.586 -0.264
Pd -5.550 -4.103 -0.742
Pd -0.747 -6.755 1.551
```

Properties
- calculated volume (Å³/f.u.) = 133.9
- ρ (Mg/m³) = 10.5
- final energy (eV/f.u.) = -43.38
- spin magnetization (μB/f.u.) = 0.000
- DOS(E_F) (states/eV per cell) = 6.0